<one>
The following is a DFT calculation (PBE-GGA) of Li3Te after structural relaxation.

## Properties
Total magnetization   0.001 μB/atom

Unit cell a=9.2944 b=9.2944 c=3.4043 alpha=90.00 beta=90.00 gamma=120.00
Space group R-3m (No. 166, hexagonal axes)
One atom of each set of equivalent atoms:
Li 0.0000 0.5000 0.0000
Te 0.0000 0.0000 0.0000

<two>
The following is a DFT calculation (PBE-GGA) of Li3Te after structural relaxation.

## Properties
Total magnetization   0.000 μB/atom

Unit cell a=4.190 b=4.190 c=8.497 alpha=90.00 beta=90.00 gamma=90.00
Space group I4/mmm (No. 139)
One atom of each set of equivalent atoms:
Li 0.000 0.000 0.000
Li 0.000 0.500 0.250
Te 0.000 0.000 0.500

Last place for stability: <one>

<one>
The following is a DFT calculation (PBE-GGA) of LiTe3 after structural relaxation.

## Properties
Total magnetization   0.000 μB/atom

Unit cell a=4.484 b=5.961 c=4.369 alpha=90.00 beta=90.00 gamma=90.00
Space group Pmm2 (No. 25)
One atom of each set of equivalent atoms:
Li 0.000 0.000 0.000
Te 0.000 0.500 0.952
Te 0.500 0.000 0.539
Te 0.500 0.500 0.436

<two>
The following is a DFT calculation (PBE-GGA) of LiTe3 after structural relaxation.

## Properties
Total magnetization   0.000 μB/atom

Unit cell a=4.813 b=4.813 c=4.813 alpha=90.00 beta=90.00 gamma=90.00
Space group Pm-3m (No. 221)
One atom of each set of equivalent atoms:
Li 0.000 0.000 0.000
Te 0.000 0.500 0.500

<three>
The following is a DFT calculation (PBE-GGA) of LiTe3 after structural relaxation.

## Properties
Total magnetization   0.000 μB/atom

Unit cell a=13.096 b=4.313 c=4.514 alpha=90.00 beta=110.03 gamma=90.00
Space group C2/m (No. 12)
One atom of each set of equivalent atoms:
Li 0.000 0.000 0.000
Te 0.000 0.500 0.500
Te 0.245 0.500 0.745

<four>
The following is a DFT calculation (PBE-GGA) of LiTe3 after structural relaxation.

## Properties
Total magnetization   0.000 μB/atom

Unit cell a=6.628 b=8.108 c=4.096 alpha=90.00 beta=90.00 gamma=90.00
Space group Cmmm (No. 65)
One atom of each set of equivalent atoms:
Li 0.000 0.000 0.000
Te 0.000 0.500 0.000
Te 0.250 0.250 0.500

Last place for stability: <two>

<one>
The following is a DFT calculation (PBE-GGA) of LiTe3 after structural relaxation.

## Properties
Total magnetization   0.000 μB/atom

Unit cell a=9.590 b=16.109 c=4.057 alpha=90.00 beta=90.00 gamma=90.00
Space group Cmcm (No. 63)
One atom of each set of equivalent atoms:
Li 0.000 0.237 0.250
Te 0.000 0.426 0.250
Te 0.202 0.314 0.750

<two>
The following is a DFT calculation (PBE-GGA) of LiTe3 after structural relaxation.

## Properties
Total magnetization   0.000 μB/atom

Unit cell a=6.141 b=6.141 c=6.141 alpha=90.00 beta=90.00 gamma=90.00
Space group Im-3m (No. 229)
One atom of each set of equivalent atoms:
Li 0.000 0.000 0.000
Te 0.000 0.000 0.500

<three>
The following is a DFT calculation (PBE-GGA) of LiTe3 after structural relaxation.

## Properties
Total magnetization   0.000 μB/atom

Unit cell a=4.0956 b=4.0956 c=7.7599 alpha=90.00 beta=90.00 gamma=120.00
Space group P-6m2 (No. 187)
One atom of each set of equivalent atoms:
Li 0.0000 0.0000 0.0000
Te 0.0000 0.0000 0.5000
Te 0.6667 0.3333 0.2212

Last place for stability: <three>

<one>
The following is a DFT calculation (PBE-GGA) of LiTe5 after structural relaxation.

## Properties
Total magnetization   0.000 μB/atom

Unit cell a=12.050 b=3.982 c=8.977 alpha=90.00 beta=108.28 gamma=90.00
Space group Cm (No. 8)
One atom of each set of equivalent atoms:
Li 0.000 0.000 0.000
Te 0.093 0.000 0.361
Te 0.143 0.500 0.729
Te 0.215 0.500 0.064
Te 0.412 0.000 0.220
Te 0.416 0.000 0.727

<two>
The following is a DFT calculation (PBE-GGA) of LiTe5 after structural relaxation.

## Properties
Total magnetization   0.000 μB/atom

Unit cell a=9.046 b=9.046 c=9.046 alpha=90.00 beta=90.00 gamma=90.00
Space group F-43m (No. 216)
One atom of each set of equivalent atoms:
Li 0.000 0.000 0.000
Te 0.124 0.124 0.376
Te 0.250 0.250 0.750

Last place for stability: <two>